[1]
## AgSe2 (SCAN)

Data for AgSe2 at its PBEsol-relaxed geometry.

a = 4.9971 Å, b = 4.9971 Å, c = 5.3784 Å
α = 90.00°, β = 90.00°, γ = 120.00°
Fractional positions:
Ag: 0.6667 0.3333 0.7500
Ag: 0.3333 0.6667 0.2500
Se: 0.0000 0.0000 0.0000
Se: 0.0000 0.0000 0.5000
Se: 0.6667 0.3333 0.2500
Se: 0.3333 0.6667 0.7500

Properties
energy relative to the elements, uncorrected: 484 meV/atom
total energy: -23.358 eV/atom
Fermi-level density of states: 2.22 states/eV/f.u.



[2]
## Ag5Se3 (SCAN)

Data for Ag5Se3 at its PBEsol-relaxed geometry.

a = 4.1772 Å, b = 5.9880 Å, c = 5.9880 Å
α = 100.68°, β = 90.00°, γ = 90.00°
Fractional positions:
Ag: 0.0000 0.0000 0.0000
Ag: 0.0000 0.0000 0.5000
Ag: 0.0000 0.5000 0.0000
Ag: 0.5000 0.2735 0.2735
Ag: 0.5000 0.7265 0.7265
Se: 0.0000 0.5000 0.5000
Se: 0.5000 0.8001 0.1999
Se: 0.5000 0.1999 0.8001

Properties
energy relative to the elements, uncorrected: 18 meV/atom
total energy: -27.116 eV/atom
Fermi-level density of states: 3.97 states/eV/f.u.



[3]
## Ag3Se (SCAN)

Data for Ag3Se at its PBEsol-relaxed geometry.

a = 4.1286 Å, b = 4.1286 Å, c = 8.7521 Å
α = 103.64°, β = 103.64°, γ = 90.00°
Fractional positions:
Ag: 0.0000 0.5000 0.0000
Ag: 0.5000 0.0000 0.0000
Ag: 0.2500 0.7500 0.5000
Ag: 0.7500 0.2500 0.5000
Ag: 0.1195 0.1195 0.2391
Ag: 0.8805 0.8805 0.7609
Se: 0.3674 0.3674 0.7347
Se: 0.6326 0.6326 0.2653

Properties
energy relative to the elements, uncorrected: 17 meV/atom
total energy: -28.528 eV/atom
Fermi-level density of states: 0.50 states/eV/f.u.



[4]
## SiAgSe (SCAN)

Data for SiAgSe at its PBEsol-relaxed geometry.

a = 2.6849 Å, b = 2.7024 Å, c = 7.8159 Å
α = 78.24°, β = 89.58°, γ = 88.28°
Fractional positions:
Si: 0.6637 0.4905 0.6799
Ag: 0.6680 0.8461 0.9826
Se: 0.6683 0.6634 0.3375

Properties
energy relative to the elements, uncorrected: 347 meV/atom
total energy: -20.140 eV/atom
Fermi-level density of states: 0.83 states/eV/f.u.



[5]
## Si2AgSe (SCAN)

Data for Si2AgSe at its PBEsol-relaxed geometry.

a = 3.7120 Å, b = 3.7076 Å, c = 5.8090 Å
α = 107.04°, β = 108.63°, γ = 90.00°
Fractional positions:
Ag: 0.0000 0.0000 0.0000
Se: 0.5000 0.5000 0.0000
Si: 0.7482 0.7533 0.4964
Si: 0.2518 0.2467 0.5036

Properties
energy relative to the elements, uncorrected: 356 meV/atom
total energy: -17.513 eV/atom
Fermi-level density of states: 1.96 states/eV/f.u.



[6]
## SiAg2Se (SCAN)

Data for SiAg2Se at its PBEsol-relaxed geometry.

a = 2.8808 Å, b = 4.0127 Å, c = 6.0913 Å
α = 90.00°, β = 92.89°, γ = 90.00°
Fractional positions:
Ag: 0.0064 0.0000 0.7282
Ag: 0.9936 0.0000 0.2718
Se: 0.5000 0.5000 0.0000
Si: 0.5000 0.5000 0.5000

Properties
energy relative to the elements, uncorrected: 355 meV/atom
total energy: -22.852 eV/atom
Fermi-level density of states: 1.05 states/eV/f.u.



[7]
## SiAgSe (SCAN)

Data for SiAgSe at its PBEsol-relaxed geometry.

a = 2.6397 Å, b = 4.9049 Å, c = 4.9049 Å
α = 120.00°, β = 90.00°, γ = 90.00°
Fractional positions:
Si: 0.0000 0.3333 0.6667
Se: 0.0000 0.6667 0.3333
Ag: 0.0000 0.0000 0.0000

Properties
energy relative to the elements, uncorrected: 452 meV/atom
total energy: -20.035 eV/atom
Fermi-level density of states: 1.33 states/eV/f.u.



[8]
## Ag8SnSe6 (SCAN)

Data for Ag8SnSe6 at its PBEsol-relaxed geometry.

a = 7.6570 Å, b = 7.9617 Å, c = 10.8272 Å
α = 90.00°, β = 90.00°, γ = 90.00°
Fractional positions:
Ag: 0.3720 0.5000 0.5408
Ag: 0.2888 0.5000 0.9675
Ag: 0.7112 0.0000 0.4675
Ag: 0.1778 0.2204 0.1373
Ag: 0.5389 0.1898 0.2615
Ag: 0.4611 0.3102 0.7615
Ag: 0.1778 0.7796 0.1373
Ag: 0.8222 0.7204 0.6373
Ag: 0.8222 0.2796 0.6373
Ag: 0.4611 0.6898 0.7615
Ag: 0.1101 0.7870 0.8644
Ag: 0.8899 0.7130 0.3644
Ag: 0.8899 0.2870 0.3644
Ag: 0.1101 0.2130 0.8644
Ag: 0.5389 0.8102 0.2615
Ag: 0.6280 0.0000 0.0408
Sn: 0.7510 0.5000 0.0159
Sn: 0.2490 0.0000 0.5159
Se: 0.7043 0.5000 0.4923
Se: 0.2957 0.0000 0.9923
Se: 0.1752 0.5000 0.7402
Se: 0.8248 0.0000 0.2402
Se: 0.4900 0.5000 0.1577
Se: 0.5100 0.0000 0.6577
Se: 0.0042 0.5000 0.1668
Se: 0.9958 0.0000 0.6668
Se: 0.7517 0.7630 0.8865
Se: 0.2483 0.7370 0.3865
Se: 0.2483 0.2630 0.3865
Se: 0.7517 0.2370 0.8865

Properties
energy relative to the elements, uncorrected: -162 meV/atom
total energy: -27.317 eV/atom
Fermi-level density of states: 0.87 states/eV/f.u.



[9]
## AgSn3Se (SCAN)

Data for AgSn3Se at its PBEsol-relaxed geometry.

a = 5.4228 Å, b = 5.4228 Å, c = 5.4228 Å
α = 90.00°, β = 90.00°, γ = 90.00°
Fractional positions:
Se: 0.0000 0.0000 0.0000
Sn: 0.0000 0.5000 0.0000
Sn: 0.0000 0.0000 0.5000
Sn: 0.5000 0.0000 0.0000
Ag: 0.5000 0.5000 0.5000

Properties
energy relative to the elements, uncorrected: 708 meV/atom
total energy: -31.134 eV/atom
Fermi-level density of states: 2.74 states/eV/f.u.



[10]
## Ag2Sn2Se (SCAN)

Data for Ag2Sn2Se at its PBEsol-relaxed geometry.

a = 3.7806 Å, b = 3.7806 Å, c = 8.2631 Å
α = 103.22°, β = 103.22°, γ = 90.00°
Fractional positions:
Se: 0.0000 0.0000 0.0000
Sn: 0.3978 0.3978 0.7957
Sn: 0.6022 0.6022 0.2043
Ag: 0.2500 0.7500 0.5000
Ag: 0.7500 0.2500 0.5000

Properties
energy relative to the elements, uncorrected: 172 meV/atom
total energy: -30.759 eV/atom
Fermi-level density of states: 1.96 states/eV/f.u.



[11]
## ZnAg2SnSe4 (SCAN)

Data for ZnAg2SnSe4 at its PBEsol-relaxed geometry.

a = 5.7637 Å, b = 5.7637 Å, c = 7.3781 Å
α = 112.99°, β = 112.99°, γ = 90.00°
Fractional positions:
Zn: 0.0000 0.0000 0.0000
Se: 0.3622 0.8792 0.2414
Se: 0.8792 0.3622 0.2414
Se: 0.6378 0.6378 0.7586
Se: 0.1208 0.1208 0.7586
Sn: 0.5000 0.5000 0.0000
Ag: 0.2500 0.7500 0.5000
Ag: 0.7500 0.2500 0.5000

Properties
energy relative to the elements, uncorrected: -363 meV/atom
total energy: -24.423 eV/atom
Fermi-level density of states: 0.51 states/eV/f.u.



[12]
## SrAg4Se (SCAN)

Data for SrAg4Se at its PBEsol-relaxed geometry.

a = 5.5728 Å, b = 5.5728 Å, c = 5.5728 Å
α = 60.00°, β = 60.00°, γ = 60.00°
Fractional positions:
Ag: 0.3752 0.3752 0.3752
Ag: 0.3752 0.3752 0.8743
Ag: 0.8743 0.3752 0.3752
Ag: 0.3752 0.8743 0.3752
Se: 0.7500 0.7500 0.7500
Sr: 0.0000 0.0000 0.0000

Properties
energy relative to the elements, uncorrected: -346 meV/atom
total energy: -28.316 eV/atom
Fermi-level density of states: 0.21 states/eV/f.u.



> Which of these has the highest energy relative to the elements, uncorrected?

AgSn3Se



> Which value of Fermi-level density of states does entry 3 give?

0.50 states/eV/f.u.



> What is the total energy in the first record?

-23.358 eV/atom



> The lowest total energy belongs to which entry?

AgSn3Se